No. 1
## CdSiIN2 (GGA-PBE)

Data for a relaxed structure of CdSiIN2.

abc: 4.361 4.361 6.414
angles: 90.00 90.00 90.00
Space group P4/mmm (No. 123)
Asymmetric unit:
1 Cd 0.000 0.000 0.000 (multiplicity 1)
2 Si 0.500 0.500 0.500 (multiplicity 1)
3 I 0.000 0.000 0.500 (multiplicity 1)
4 N 0.000 0.500 0.000 (multiplicity 2)

* ρ: 4.02 g/cm3
* energy: -3.042 eV/atom
* ΔE to the lowest computed polymorph: 1006.4 meV per atom
* formation energy from raw total energies: 9.3 eV per formula unit

---

No. 2
## RbHfIn (GGA-PBE)

Data for a relaxed structure of RbHfIn.

abc: 3.409 4.179 14.496
angles: 90.37 91.19 90.00
Space group P-1 (No. 2)
Asymmetric unit:
1 Rb 0.219 0.242 0.156 (multiplicity 2)
2 Hf 0.245 0.249 0.443 (multiplicity 2)
3 In 0.264 0.254 0.660 (multiplicity 2)

* E_form: 0.06 eV per atom
* ρ: 6.09 g/cm3
* energy: -4.496 eV/atom
* ΔE to the lowest computed polymorph: 0.0 meV per atom

---

No. 3
## GaNi3 (GGA-PBE)

Data for a relaxed structure of GaNi3.

abc: 3.582 3.582 3.582
angles: 90.00 90.00 90.00
Space group Pm-3m (No. 221)
Asymmetric unit:
1 Ga 0.000 0.000 0.000 (multiplicity 1)
2 Ni 0.000 0.500 0.500 (multiplicity 3)

* E_form: -0.29 eV per atom
* ρ: 8.88 g/cm3
* energy: -5.382 eV/atom

---

No. 4
## NaBr3 (GGA-PBE)

Data for a relaxed structure of NaBr3.

abc: 3.4208 3.4208 42.1714
angles: 90.00 90.00 120.00
Space group R-3m (No. 166, hexagonal axes)
Asymmetric unit:
1 Na 0.0000 0.0000 0.0000 (multiplicity 3)
2 Br 0.0000 0.0000 0.0618 (multiplicity 6)
3 Br 0.0000 0.0000 0.5000 (multiplicity 3)

* ρ: 3.06 g/cm3
* energy: -1.646 eV/atom
* ΔE to the lowest computed polymorph: 701.7 meV per atom
* formation energy from raw total energies: -0.2 eV per formula unit

---

No. 5
## Tb2Cd3Cu2 (GGA-PBE)

Data for a relaxed structure of Tb2Cd3Cu2.

abc: 9.782 4.446 7.366
angles: 90.00 111.60 90.00
Space group C2/m (No. 12)
Asymmetric unit:
1 Tb 0.137 0.000 0.283 (multiplicity 4)
2 Cd 0.000 0.500 0.500 (multiplicity 2)
3 Cd 0.130 0.500 0.939 (multiplicity 4)
4 Cu 0.157 0.000 0.694 (multiplicity 4)

* E_form: -0.26 eV per atom
* ρ: 8.72 g/cm3
* energy: -3.146 eV/atom
* ΔE to the lowest computed polymorph: 0.0 meV per atom

---

No. 6
## CsSnSeBr2 (GGA-PBE)

Data for a relaxed structure of CsSnSeBr2.

abc: 5.867 5.867 5.289
angles: 90.00 90.00 90.00
Space group P4/mmm (No. 123)
Asymmetric unit:
1 Cs 0.000 0.000 0.000 (multiplicity 1)
2 Sn 0.500 0.500 0.500 (multiplicity 1)
3 Se 0.500 0.500 0.000 (multiplicity 1)
4 Br 0.000 0.500 0.500 (multiplicity 2)

* ρ: 4.47 g/cm3
* energy: -3.263 eV/atom
* ΔE to the lowest computed polymorph: 0.0 meV per atom
* formation energy from raw total energies: -4.6 eV per formula unit

---

No. 7
## PrHo2Pu (GGA-PBE)

Data for a relaxed structure of PrHo2Pu.

abc: 3.4400 3.4400 36.9039
angles: 90.00 90.00 120.00
Space group R-3m (No. 166, hexagonal axes)
Asymmetric unit:
1 Pr 0.0000 0.0000 0.0000 (multiplicity 3)
2 Ho 0.0000 0.0000 0.0921 (multiplicity 6)
3 Pu 0.0000 0.0000 0.5000 (multiplicity 3)

* E_form: 0.23 eV per atom
* ρ: 9.41 g/cm3
* energy: -6.833 eV/atom
* ΔE to the lowest computed polymorph: 130.9 meV per atom

---

No. 8
## Ce2Ni4AgGe3 (GGA-PBE)

Data for a relaxed structure of Ce2Ni4AgGe3.

abc: 4.128 4.128 9.975
angles: 90.00 90.00 90.00
Space group P-4m2 (No. 115)
Asymmetric unit:
1 Ce 0.000 0.500 0.243 (multiplicity 2)
2 Ni 0.000 0.000 0.000 (multiplicity 1)
3 Ni 0.000 0.500 0.644 (multiplicity 2)
4 Ni 0.500 0.500 0.000 (multiplicity 1)
5 Ag 0.000 0.000 0.500 (multiplicity 1)
6 Ge 0.000 0.500 0.878 (multiplicity 2)
7 Ge 0.500 0.500 0.500 (multiplicity 1)

* E_form: -0.53 eV per atom
* ρ: 8.21 g/cm3
* energy: -5.700 eV/atom

---

No. 9
## NaTl2Hg4 (GGA-PBE)

Data for a relaxed structure of NaTl2Hg4.

abc: 10.357 5.011 9.454
angles: 90.00 121.28 90.00
Space group C2/m (No. 12)
Asymmetric unit:
1 Na 0.000 0.000 0.000 (multiplicity 2)
2 Tl 0.170 0.500 0.537 (multiplicity 4)
3 Hg 0.128 0.500 0.853 (multiplicity 4)
4 Hg 0.210 0.500 0.213 (multiplicity 4)

* E_form: -0.07 eV per atom
* ρ: 9.77 g/cm3
* energy: -1.107 eV/atom
* ΔE to the lowest computed polymorph: 0.0 meV per atom

---

No. 10
## NdTcGe2Rh (GGA-PBE)

Data for a relaxed structure of NdTcGe2Rh.

abc: 4.312 4.312 10.126
angles: 90.00 90.00 90.00
Space group I-4m2 (No. 119)
Asymmetric unit:
1 Nd 0.000 0.000 0.000 (multiplicity 2)
2 Tc 0.000 0.500 0.250 (multiplicity 2)
3 Ge 0.000 0.000 0.369 (multiplicity 4)
4 Rh 0.000 0.500 0.750 (multiplicity 2)

* E_form: -0.69 eV per atom
* ρ: 8.65 g/cm3
* energy: -7.030 eV/atom

---

No. 11
## TiAuBr2 (GGA-PBE)

Data for a relaxed structure of TiAuBr2.

abc: 3.3452 3.3452 35.8581
angles: 90.00 90.00 120.00
Space group R-3m (No. 166, hexagonal axes)
Asymmetric unit:
1 Ti 0.0000 0.0000 0.0000 (multiplicity 3)
2 Au 0.0000 0.0000 0.5000 (multiplicity 3)
3 Br 0.0000 0.0000 0.0650 (multiplicity 6)

* ρ: 5.80 g/cm3
* energy: -3.530 eV/atom
* ΔE to the lowest computed polymorph: 557.4 meV per atom
* formation energy from raw total energies: 0.4 eV per formula unit

---

No. 12
## SrAgIr2 (GGA-PBE)

Data for a relaxed structure of SrAgIr2.

abc: 2.790 4.477 6.259
angles: 90.00 90.00 90.00
Space group Pmmm (No. 47)
Asymmetric unit:
1 Sr 0.000 0.000 0.000 (multiplicity 1)
2 Ag 0.000 0.000 0.500 (multiplicity 1)
3 Ir 0.500 0.500 0.299 (multiplicity 2)

* E_form: 0.43 eV per atom
* ρ: 12.32 g/cm3
* energy: -5.130 eV/atom
* ΔE to the lowest computed polymorph: 244.0 meV per atom